## SrMg2PN4 (PBE-GGA)

Data for an optimized crystal structure of SrMg2PN4.

Values from the calculation:
symmetry: Pmn2_1, No. 31
DFT total energy: -6.21 eV per atom
crystal system: orthorhombic
mass density: 3.5 g/cm3

a b c (Å): 5.397 5.511 7.213
angles (deg): 90.00 90.00 90.00
Positions (direct):
Sr 0.981 0.174 0.500
Sr 0.481 0.826 0.000
Mg 0.495 0.325 0.255
Mg 0.495 0.325 0.745
Mg 0.995 0.675 0.755
Mg 0.995 0.675 0.245
P 0.509 0.805 0.500
P 0.009 0.195 0.000
N 0.310 0.257 0.000
N 0.810 0.743 0.500
N 0.467 0.105 0.500
N 0.967 0.895 0.000
N 0.371 0.675 0.679
N 0.871 0.325 0.179
N 0.871 0.325 0.821
N 0.371 0.675 0.321